DFT (PBE) results for a geometry-optimized LaPbAu2 structure.

Calculated values
VASP energy = -16.8 eV per cell
total magnetic moment = 0.000 Bohr magnetons per cell
DOS at the Fermi energy = 2.0 states/eV per cell
energy relative to the elements = -0.3947 eV/atom
SG = Pmm2 (25)

Lattice parameters (Å, degrees): 3.929 3.957 6.734 90.00 90.00 90.00
Element x y z (fractional)
Au1 0.000 0.000 0.986
Au2 0.500 0.500 0.250
La1 0.000 0.000 0.452
Pb1 0.500 0.500 0.812

---

DFT (PBE) results for a geometry-optimized La4PrS5 structure.

Calculated values
VASP energy = -66.5 eV per cell
total magnetic moment = 0.000 Bohr magnetons per cell
DOS at the Fermi energy = 6.5 states/eV per cell
SG = Immm (71)

Lattice parameters (Å, degrees): 4.145 5.866 10.975 105.50 100.89 90.00
Element x y z (fractional)
La1 0.400 0.400 0.801
La2 0.800 0.800 0.600
La3 0.200 0.200 0.400
La4 0.600 0.600 0.199
Pr1 0.000 0.000 0.000
S1 0.599 0.099 0.198
S2 0.800 0.300 0.600
S3 0.200 0.700 0.400
S4 0.000 0.500 0.000
S5 0.401 0.901 0.802

---

DFT (PBE) results for a geometry-optimized Zn3PtAu3 structure.

Calculated values
VASP energy = -41.1 eV per cell
total magnetic moment = 0.000 Bohr magnetons per cell
DOS at the Fermi energy = 5.4 states/eV per cell
energy relative to the elements = -0.1188 eV/atom
SG = C2/m (12)

Lattice parameters (Å, degrees): 6.522 6.522 6.981 100.85 100.85 116.11
Element x y z (fractional)
Zn1 0.698 0.698 0.031
Zn2 0.858 0.491 0.694
Zn3 0.491 0.858 0.694
Zn4 0.142 0.509 0.306
Zn5 0.509 0.142 0.306
Zn6 0.302 0.302 0.969
Pt1 0.902 0.902 0.795
Pt2 0.098 0.098 0.205
Au1 0.608 0.608 0.361
Au2 0.132 0.868 0.500
Au3 0.868 0.132 0.500
Au4 0.272 0.728 0.000
Au5 0.728 0.272 0.000
Au6 0.392 0.392 0.639